Crystalline CaTcCl2 at its relaxed geometry, computed with GGA-PBE.

a = 6.5842 Å, b = 6.5842 Å, c = 5.3173 Å
α = 89.54°, β = 89.54°, γ = 30.35°
Sites, in units of the cell vectors:
Cl 0.1048 0.1048 0.9753
Ca 0.7500 0.7500 0.7500
Tc 0.2500 0.2500 0.2500
Cl 0.3952 0.3952 0.5247

## Properties
N(E_F) ... 0.35 states/eV/atom
Offset from the most stable computed form ... 16 meV/atom
Formation energy without anion corrections ... -12.24 kcal/mol of atoms
E_tot ... -4.5460 eV/atom
Calculated volume ... 116.5 Å³ per cell

Crystalline LiEr2Ga6Tc at its relaxed geometry, computed with GGA-PBE.

a = 9.6814 Å, b = 5.2392 Å, c = 6.6436 Å
α = 66.85°, β = 43.50°, γ = 90.11°
Sites, in units of the cell vectors:
Ga 0.7026 0.1882 0.1139
Tc 0.0000 0.0000 0.0000
Ga 0.7014 0.6964 0.1166
Ga 0.0802 0.2525 0.4938
Er 0.2248 0.7334 0.5329
Ga 0.9198 0.7475 0.5062
Ga 0.2974 0.8118 0.8861
Li 0.5000 0.5000 0.0000
Er 0.7752 0.2666 0.4671
Ga 0.2986 0.3036 0.8834

## Properties
N(E_F) ... 0.53 states/eV/atom
E_tot ... -4.2482 eV/atom
ΔH_f (0 K) ... -0.292 eV/atom
Calculated volume ... 190.1 Å³ per cell

Crystalline ReHgF5 at its relaxed geometry, computed with GGA-PBE.

a = 7.6899 Å, b = 7.5022 Å, c = 9.0665 Å
α = 50.76°, β = 52.51°, γ = 75.11°
Sites, in units of the cell vectors:
F 0.5695 0.3687 0.3519
F 0.9155 0.0390 0.8252
F 0.0845 0.9611 0.1747
F 0.1707 0.3411 0.7330
F 0.5640 0.2388 0.7069
Hg 0.7018 0.7161 0.7974
F 0.8294 0.6590 0.2669
Re 0.5001 0.5001 0.4999
Re 0.0000 0.0001 0.9999
F 0.4360 0.7613 0.2930
F 0.4306 0.6314 0.6480
F 0.2546 0.8933 0.8562
Hg 0.2977 0.2834 0.2032
F 0.7455 0.1068 0.1437

## Properties
N(E_F) ... 0.42 states/eV/atom
Formation energy without anion corrections ... -39.94 kcal/mol of atoms
E_tot ... -4.8900 eV/atom
Calculated volume ... 314.4 Å³ per cell

Crystalline DyHo3Pu at its relaxed geometry, computed with GGA-PBE.

a = 6.9668 Å, b = 7.8017 Å, c = 6.0842 Å
α = 82.46°, β = 106.61°, γ = 77.07°
Sites, in units of the cell vectors:
Ho 0.4508 0.3027 0.6057
Ho 0.6476 0.1082 0.1990
Ho 0.3524 0.8918 0.8010
Pu 0.2503 0.4999 0.0002
Pu 0.7497 0.5001 0.9998
Ho 0.9503 0.3032 0.6054
Dy 0.8525 0.8914 0.8007
Dy 0.1475 0.1086 0.1993
Ho 0.0497 0.6968 0.3946
Ho 0.5492 0.6973 0.3943

## Properties
N(E_F) ... 2.20 states/eV/atom
E_tot ... -6.4642 eV/atom
ΔH_f (0 K) ... 0.069 eV/atom
Calculated volume ... 302.1 Å³ per cell

Crystalline MoOs at its relaxed geometry, computed with GGA-PBE.

a = 2.7958 Å, b = 2.7958 Å, c = 3.8669 Å
α = 90.00°, β = 90.00°, γ = 90.00°
Sites, in units of the cell vectors:
Os 0.0000 0.0000 0.5000
Mo 0.5000 0.5000 0.0000

## Properties
N(E_F) ... 1.01 states/eV/atom
E_tot ... -10.9641 eV/atom
ΔH_f (0 K) ... 0.066 eV/atom
Calculated volume ... 30.2 Å³ per cell

Crystalline ErGaNiAu at its relaxed geometry, computed with GGA-PBE.

a = 4.6486 Å, b = 4.6486 Å, c = 4.6486 Å
α = 60.00°, β = 60.00°, γ = 60.00°
Sites, in units of the cell vectors:
Au 0.7500 0.7500 0.7500
Ni 0.2500 0.2500 0.2500
Er 0.0000 0.0000 0.0000
Ga 0.5000 0.5000 0.5000

## Properties
N(E_F) ... 0.56 states/eV/atom
E_tot ... -4.6478 eV/atom
ΔH_f (0 K) ... -0.486 eV/atom
Calculated volume ... 71.0 Å³ per cell

- Among the records above, which one has the highest N(E_F)?
  DyHo3Pu